VASP calculation (PBE) on a relaxed structure of LiHo5.

The space group is Cmmm (No. 65) and the conventional cell measures 5.501, 17.276 and 3.694 Å, with angles of 90.00, 90.00 and 90.00 degrees. The distinct sites, in fractional coordinates, are Li at (0.000, 0.000, 0.000), Ho at (0.000, 0.142, 0.500), Ho at (0.000, 0.314, 0.000) and Ho at (0.000, 0.500, 0.500).

The formation energy is 0.0665 eV/atom. The calculation puts the raw total energy at -4.067 eV/atom. As for the crystal system: orthorhombic.